1.
Below is crystalline ScTlHg2Ru at its relaxed geometry, with properties calculated at the PBE level.

Lattice parameters (Å, degrees): 5.3540 5.3540 5.5498 90.00 90.00 90.00
Space group P4/mmm (No. 123)
One atom of each set of equivalent atoms:
Sc (0.0000, 0.0000, 0.0000) (multiplicity 1)
Tl (0.0000, 0.0000, 0.5000) (multiplicity 1)
Hg (0.0000, 0.5000, 0.0000) (multiplicity 2)
Ru (0.5000, 0.5000, 0.5000) (multiplicity 1)

Computed properties:
D(E_F): 5.73 states/eV per cell
energy of formation from the pure elements: 1.250 eV/atom
final energy: -2.466 eV per atom
calculated density: 7.85 Mg/m³
total magnetization: 2.08 μB/cell

2.
Below is crystalline CaCo at its relaxed geometry, with properties calculated at the PBE level.

Lattice parameters (Å, degrees): 3.3575 3.3575 12.8074 90.00 90.00 120.00
Space group R-3m (No. 166, hexagonal axes)
One atom of each set of equivalent atoms:
Ca (0.0000, 0.0000, 0.0000) (multiplicity 3)
Co (0.0000, 0.0000, 0.5000) (multiplicity 3)

Computed properties:
D(E_F): 5.28 states/eV per cell
energy of formation from the pure elements: 0.703 eV/atom
final energy: -3.850 eV per atom
calculated density: 3.94 Mg/m³
total magnetization: 3.03 μB/cell

3.
Below is crystalline Ta2FeAs at its relaxed geometry, with properties calculated at the PBE level.

Lattice parameters (Å, degrees): 5.6041 7.0851 3.1574 90.00 90.00 90.00
Space group Cmmm (No. 65)
One atom of each set of equivalent atoms:
Ta (0.2500, 0.2500, 0.0000) (multiplicity 4)
Fe (0.0000, 0.0000, 0.5000) (multiplicity 2)
As (0.0000, 0.5000, 0.5000) (multiplicity 2)

Computed properties:
D(E_F): 5.91 states/eV per cell
energy of formation from the pure elements: -0.084 eV/atom
final energy: -9.288 eV per atom
calculated density: 13.05 Mg/m³
total magnetization: 3.18 μB/cell

4.
Below is crystalline InAg8S6 at its relaxed geometry, with properties calculated at the PBE level.

Lattice parameters (Å, degrees): 7.8483 7.6994 10.6559 90.00 90.00 90.00
Space group Pmn2_1 (No. 31)
One atom of each set of equivalent atoms:
In (0.0000, 0.2504, 0.0000) (multiplicity 2)
Ag (0.0000, 0.6183, 0.5126) (multiplicity 2)
Ag (0.0000, 0.6942, 0.9553) (multiplicity 2)
Ag (0.1976, 0.1044, 0.3567) (multiplicity 4)
Ag (0.2060, 0.5288, 0.7491) (multiplicity 4)
Ag (0.2314, 0.1604, 0.6307) (multiplicity 4)
S (0.0000, 0.0115, 0.1575) (multiplicity 2)
S (0.0000, 0.2832, 0.5051) (multiplicity 2)
S (0.0000, 0.5060, 0.1402) (multiplicity 2)
S (0.0000, 0.7869, 0.7360) (multiplicity 2)
S (0.2385, 0.7596, 0.3748) (multiplicity 4)

Computed properties:
formation energy from raw total energies: -96 meV/atom
D(E_F): 18.09 states/eV per cell
final energy: -3.450 eV per atom
calculated density: 6.04 Mg/m³
total magnetization: 0.00 μB/cell

5.
Below is crystalline PrZn6Ni4 at its relaxed geometry, with properties calculated at the PBE level.

Lattice parameters (Å, degrees): 6.9086 6.9086 4.0245 90.00 90.00 120.00
Space group P-6m2 (No. 187)
One atom of each set of equivalent atoms:
Pr (0.0000, 0.0000, 0.0000) (multiplicity 1)
Zn (0.2035, 0.4070, 0.5000) (multiplicity 3)
Zn (0.5349, 0.0698, 0.0000) (multiplicity 3)
Ni (0.3333, 0.6667, 0.0000) (multiplicity 1)
Ni (0.4224, 0.2112, 0.5000) (multiplicity 3)

Computed properties:
D(E_F): 5.00 states/eV per cell
energy of formation from the pure elements: -0.223 eV/atom
final energy: -3.454 eV per atom
calculated density: 7.67 Mg/m³
total magnetization: 0.00 μB/cell